DFT (PBE-GGA) results for a relaxed AgPdRhCl6 crystal.

Cell and atoms, written as POSCAR:
```
AgPdRhCl6
1.0
5.925 0.000 0.000
0.000 5.925 0.000
0.000 0.000 11.386
Ag Pd Rh Cl
2 2 2 12
direct
0.000 0.000 0.000
0.500 0.500 0.500
0.000 0.000 0.673
0.500 0.500 0.173
0.000 0.000 0.334
0.500 0.500 0.834
0.182 0.182 0.497
0.195 0.195 0.182
0.212 0.212 0.829
0.288 0.712 0.329
0.305 0.695 0.682
0.318 0.682 0.997
0.682 0.318 0.997
0.695 0.305 0.682
0.712 0.288 0.329
0.788 0.788 0.829
0.805 0.805 0.182
0.818 0.818 0.497
```

## Properties
Fermi-level density of states = 5.12 states/eV/f.u.
total energy = -3.362 eV per atom
volume = 22.2 Å³/atom
formation energy from raw total energies = -0.4205 eV/atom


DFT (PBE-GGA) results for a relaxed Ag2PdRhCl crystal.

Cell and atoms, written as POSCAR:
```
Ag2PdRhCl
1.0
4.775 0.000 0.000
0.000 4.775 0.000
0.000 0.000 4.508
Ag Pd Rh Cl
2 1 1 1
direct
0.000 0.500 0.000
0.500 0.000 0.000
0.000 0.000 0.500
0.500 0.500 0.500
0.000 0.000 0.000
```

## Properties
Fermi-level density of states = 6.00 states/eV/f.u.
total energy = -3.085 eV per atom
volume = 20.6 Å³/atom
formation energy from raw total energies = 0.9333 eV/atom